The following is a GGA-PBE calculation of a relaxed structure of LiBeCoB, from the Open Quantum Materials Database.

Lattice parameters (Å, degrees): 3.571 3.571 3.571 60.00 60.00 60.00
Fractional coordinates of all 4 atoms:
Li 0.750 0.750 0.750
Co 0.500 0.500 0.500
Be 0.000 0.000 0.000
B 0.250 0.250 0.250

Summary:
**E above lowest polymorph**: 44 meV/atom
**Crystal system**: cubic

The following is a GGA-PBE calculation of a relaxed structure of Al7W5, from the Open Quantum Materials Database.

Lattice parameters (Å, degrees): 5.193 5.193 16.608 90.00 90.00 120.00
Fractional coordinates of all 24 atoms:
Al 0.675 0.838 0.250
Al 0.000 0.000 0.584
Al 0.667 0.333 0.872
Al 0.333 0.667 0.372
W 0.000 0.500 0.000
Al 0.333 0.667 0.128
W 0.667 0.333 0.332
W 0.667 0.333 0.168
Al 0.325 0.162 0.750
Al 0.000 0.000 0.916
W 0.000 0.500 0.500
Al 0.838 0.162 0.750
W 0.333 0.667 0.832
W 0.333 0.667 0.668
W 0.500 0.000 0.000
Al 0.162 0.838 0.250
Al 0.667 0.333 0.628
W 0.500 0.000 0.500
Al 0.162 0.325 0.250
Al 0.000 0.000 0.084
W 0.500 0.500 0.000
Al 0.838 0.675 0.750
W 0.500 0.500 0.500
Al 0.000 0.000 0.416

Summary:
**E above lowest polymorph**: 80 meV/atom
**Crystal system**: hexagonal